[1]
First-principles (PBE-GGA) data for a relaxed AcLa3Hg crystal, as listed in the Alexandria database.

a b c (Å): 7.804 7.804 7.804
angles (deg): 141.96 141.85 54.97
Fractional coordinates of all 5 atoms:
Ac  0.000  0.000  0.000
La  0.260  0.760  0.500
La  0.621  0.621  0.000
La  0.760  0.260  0.500
Hg  0.403  0.403  0.000

Summary:
- space-group type = Imm2, No. 44
- magnetic moment (μB per cell) = 0.00
- formation energy (kcal/mol of atoms) = -1.19
- mass density (Mg/m³) = 7.80
- density of states at the Fermi level (states/eV/atom) = 1.2765
- offset from the most stable computed form (eV/atom) = 0.1443
- VASP energy (eV per cell) = -19.5

---

[2]
First-principles (PBE-GGA) data for a relaxed Ac3LaHg4 crystal, as listed in the Alexandria database.

a b c (Å): 4.016 4.016 16.021
angles (deg): 90.00 90.00 90.00
Fractional coordinates of all 8 atoms:
Ac  0.000  0.000  0.000
Ac  0.000  0.000  0.255
Ac  0.000  0.000  0.745
La  0.000  0.000  0.500
Hg  0.500  0.500  0.127
Hg  0.500  0.500  0.384
Hg  0.500  0.500  0.616
Hg  0.500  0.500  0.873

Summary:
- space-group type = P4/mmm, No. 123
- magnetic moment (μB per cell) = 1.20
- formation energy (kcal/mol of atoms) = -11.05
- mass density (Mg/m³) = 10.43
- density of states at the Fermi level (states/eV/atom) = 1.2301
- VASP energy (eV per cell) = -22.3

---

[3]
First-principles (PBE-GGA) data for a relaxed AcLa14Hg crystal, as listed in the Alexandria database.

a b c (Å): 10.457 7.370 7.370
angles (deg): 89.98 90.00 90.00
Fractional coordinates of all 16 atoms:
Ac  0.000  0.000  0.000
La  0.000  0.506  0.988
La  0.000  0.988  0.506
La  0.238  0.261  0.261
La  0.245  0.260  0.741
La  0.245  0.741  0.260
La  0.253  0.742  0.742
La  0.500  0.003  0.003
La  0.500  0.006  0.495
La  0.500  0.495  0.006
La  0.500  0.499  0.499
La  0.747  0.742  0.742
La  0.755  0.260  0.741
La  0.755  0.741  0.260
La  0.762  0.261  0.261
Hg  0.000  0.501  0.501

Summary:
- space-group type = Amm2, No. 38
- magnetic moment (μB per cell) = 0.00
- formation energy (kcal/mol of atoms) = -1.01
- mass density (Mg/m³) = 6.93
- density of states at the Fermi level (states/eV/atom) = 1.2246
- VASP energy (eV per cell) = -74.1

---

[4]
First-principles (PBE-GGA) data for a relaxed AcLa3Hg2 crystal, as listed in the Alexandria database.

a b c (Å): 3.907 3.907 13.069
angles (deg): 90.00 90.00 90.00
Fractional coordinates of all 6 atoms:
Ac  0.000  0.000  0.000
La  0.500  0.500  0.202
La  0.500  0.500  0.500
La  0.500  0.500  0.798
Hg  0.000  0.000  0.349
Hg  0.000  0.000  0.651

Summary:
- space-group type = P4/mmm, No. 123
- magnetic moment (μB per cell) = 0.27
- formation energy (kcal/mol of atoms) = -7.70
- mass density (Mg/m³) = 8.70
- density of states at the Fermi level (states/eV/atom) = 1.4286
- VASP energy (eV per cell) = -21.5